Computed, not measured: crystalline CoCu2GeO6 at its relaxed geometry at the PBE+U level of DFT.

The value obtained for the raw total energy is -222.120 eV/cell.

The structure belongs to space group C2/c (No. 15); the cell edges are 10.773, 8.653 and 5.166 Å and the angles 90.00°, 111.13° and 90.00°. The asymmetric unit holds Co at (0.000, 0.089, 0.250), Cu at (0.204, 0.419, 0.183), Ge at (0.000, 0.256, 0.750), O at (0.091, 0.238, 0.138), O at (0.098, 0.081, 0.651) and O at (0.139, 0.398, 0.788).